Model a:
The following is a DFT calculation (PBE) of an optimized crystal structure of Gd2NiSe.

Cell lengths 3.5406, 3.5406, 6.9667 Å; angles 90.00, 90.00, 90.00 degrees
Site moments in Bohr magnetons follow the coordinates.
Atoms (fractional coordinates):
Ni1 0.5000 0.5000 0.0000  0.02
Gd1 0.0000 0.0000 0.7640  7.10
Gd2 0.0000 0.0000 0.2360  7.10
Se1 0.5000 0.5000 0.5000  -0.03

Summary:
- spin magnetization (μB per atom) = 3.638
- symmetry = P4/mmm, No. 123
- calculated density (g/cm³) = 8.6

Model b:
The following is a DFT calculation (PBE) of an optimized crystal structure of Gd2NiSe.

Cell lengths 3.9564, 3.9564, 7.4568 Å; angles 74.62, 74.62, 60.00 degrees
Site moments in Bohr magnetons follow the coordinates.
Atoms (fractional coordinates):
Ni1 0.0000 0.0000 0.0000  0.01
Gd1 0.7425 0.7425 0.7726  -7.00
Gd2 0.2575 0.2575 0.2274  -7.00
Se1 0.5000 0.5000 0.5000  0.03

Summary:
- spin magnetization (μB per atom) = 3.570
- symmetry = R-3m, No. 166
- calculated density (g/cm³) = 7.8

Most stable: model b (next structure +137 meV per atom)

Model a:
The following is a DFT calculation (PBE) of an optimized crystal structure of SmGdNi.

Cell lengths 3.4605, 3.4605, 6.7776 Å; angles 104.79, 104.79, 90.00 degrees
Site moments in Bohr magnetons follow the coordinates.
Atoms (fractional coordinates):
Ni1 0.6648 0.6648 0.3296  0.01
Gd1 0.0377 0.0377 0.0753  7.06
Sm1 0.2975 0.2975 0.5951  0.01

Summary:
- spin magnetization (μB per atom) = 2.421
- symmetry = I4mm, No. 107
- calculated density (g/cm³) = 8.0

Model b:
The following is a DFT calculation (PBE) of an optimized crystal structure of SmGdNi.

Cell lengths 3.9303, 3.9303, 6.3263 Å; angles 90.00, 90.00, 120.00 degrees
Site moments in Bohr magnetons follow the coordinates.
Atoms (fractional coordinates):
Ni1 0.6667 0.3333 0.3353  -0.01
Gd1 0.3333 0.6667 0.5765  7.09
Sm1 0.0000 0.0000 0.0882  0.03

Summary:
- spin magnetization (μB per atom) = 2.475
- symmetry = P3m1, No. 156
- calculated density (g/cm³) = 7.2

Most stable: model a (next structure +56 meV per atom)

Model a:
The following is a DFT calculation (PBE) of an optimized crystal structure of TbGdNi2.

Cell lengths 3.3556, 4.8385, 4.8385 Å; angles 90.00, 90.00, 90.00 degrees
Site moments in Bohr magnetons follow the coordinates.
Atoms (fractional coordinates):
Ni1 0.0000 0.0000 0.5000  -0.01
Ni2 0.0000 0.5000 0.0000  -0.01
Gd1 0.5000 0.0000 0.0000  7.02
Tb1 0.5000 0.5000 0.5000  -0.01

Summary:
- spin magnetization (μB per atom) = 1.780
- symmetry = P4/mmm, No. 123
- calculated density (g/cm³) = 9.2

Model b:
The following is a DFT calculation (PBE) of an optimized crystal structure of TbGdNi2.

Cell lengths 3.9402, 3.9402, 6.8331 Å; angles 73.24, 73.24, 60.00 degrees
Site moments in Bohr magnetons follow the coordinates.
Atoms (fractional coordinates):
Ni1 0.7506 0.7506 0.7481  -0.02
Ni2 0.2494 0.2494 0.2519  -0.02
Gd1 0.0000 0.0000 0.0000  7.02
Tb1 0.5000 0.5000 0.5000  0.01

Summary:
- spin magnetization (μB per atom) = 1.788
- symmetry = R-3m, No. 166
- calculated density (g/cm³) = 8.3

Most stable: model a (next structure +141 meV per atom)

Model a:
The following is a DFT calculation (PBE) of an optimized crystal structure of Gd2ThNi.

Cell lengths 3.4672, 3.4672, 8.6097 Å; angles 90.00, 90.00, 90.00 degrees
Site moments in Bohr magnetons follow the coordinates.
Atoms (fractional coordinates):
Ni1 0.5000 0.5000 0.0000  -0.04
Gd1 0.0000 0.0000 0.8086  7.05
Gd2 0.0000 0.0000 0.1914  7.05
Th1 0.5000 0.5000 0.5000  -0.01

Summary:
- spin magnetization (μB per atom) = 3.580
- symmetry = P4/mmm, No. 123
- calculated density (g/cm³) = 9.7

Model b:
The following is a DFT calculation (PBE) of an optimized crystal structure of Gd2ThNi.

Cell lengths 3.5450, 3.5450, 10.7003 Å; angles 80.47, 80.47, 60.00 degrees
Site moments in Bohr magnetons follow the coordinates.
Atoms (fractional coordinates):
Ni1 0.5000 0.5000 0.5000  -0.04
Gd1 0.1100 0.1100 0.6701  7.07
Gd2 0.8900 0.8900 0.3299  7.07
Th1 0.0000 0.0000 0.0000  -0.05

Summary:
- spin magnetization (μB per atom) = 3.591
- symmetry = R-3m, No. 166
- calculated density (g/cm³) = 8.8

Most stable: model a (next structure +243 meV per atom)

Model a:
The following is a DFT calculation (PBE) of an optimized crystal structure of GdTh2Ni.

Cell lengths 3.5560, 3.5560, 8.5380 Å; angles 90.00, 90.00, 90.00 degrees
Site moments in Bohr magnetons follow the coordinates.
Atoms (fractional coordinates):
Ni1 0.5000 0.5000 0.0000  0.05
Gd1 0.5000 0.5000 0.5000  7.22
Th1 0.0000 0.0000 0.8076  0.06
Th2 0.0000 0.0000 0.1924  0.06

Summary:
- spin magnetization (μB per atom) = 1.958
- symmetry = P4/mmm, No. 123
- calculated density (g/cm³) = 10.5

Model b:
The following is a DFT calculation (PBE) of an optimized crystal structure of GdTh2Ni.

Cell lengths 3.6535, 3.6535, 10.4361 Å; angles 79.92, 79.92, 60.00 degrees
Site moments in Bohr magnetons follow the coordinates.
Atoms (fractional coordinates):
Ni1 0.5000 0.5000 0.5000  0.01
Gd1 0.0000 0.0000 0.0000  7.31
Th1 0.1078 0.1078 0.6765  0.03
Th2 0.8922 0.8922 0.3235  0.03

Summary:
- spin magnetization (μB per atom) = 1.929
- symmetry = R-3m, No. 166
- calculated density (g/cm³) = 9.6

Most stable: model a (next structure +225 meV per atom)

Model a:
The following is a DFT calculation (PBE) of an optimized crystal structure of Gd2TlNi.

Cell lengths 3.8282, 3.8282, 9.9050 Å; angles 78.86, 78.86, 60.00 degrees
Site moments in Bohr magnetons follow the coordinates.
Atoms (fractional coordinates):
Ni1 0.5000 0.5000 0.5000  -0.02
Tl1 0.0000 0.0000 0.0000  0.01
Gd1 0.1129 0.1129 0.6614  7.13
Gd2 0.8871 0.8871 0.3386  7.13

Summary:
- spin magnetization (μB per atom) = 3.671
- symmetry = R-3m, No. 166
- calculated density (g/cm³) = 7.8

Model b:
The following is a DFT calculation (PBE) of an optimized crystal structure of Gd2TlNi.

Cell lengths 5.1739, 5.1739, 5.1739 Å; angles 60.00, 60.00, 60.00 degrees
Site moments in Bohr magnetons follow the coordinates.
Atoms (fractional coordinates):
Ni1 0.5000 0.5000 0.5000  -0.01
Tl1 0.0000 0.0000 0.0000  0.00
Gd1 0.2500 0.2500 0.2500  7.00
Gd2 0.7500 0.7500 0.7500  7.00

Summary:
- spin magnetization (μB per atom) = 3.568
- symmetry = Fm-3m, No. 225
- calculated density (g/cm³) = 9.8

Most stable: model b (next structure +146 meV per atom)

Model a:
The following is a DFT calculation (PBE) of an optimized crystal structure of Gd2TmNi.

Cell lengths 3.4959, 3.4959, 8.4432 Å; angles 90.00, 90.00, 90.00 degrees
Site moments in Bohr magnetons follow the coordinates.
Atoms (fractional coordinates):
Gd1 0.0000 0.0000 0.8076  7.09
Gd2 0.0000 0.0000 0.1924  7.09
Ni1 0.5000 0.5000 0.0000  0.04
Tm1 0.5000 0.5000 0.5000  0.21

Summary:
- spin magnetization (μB per atom) = 3.711
- symmetry = P4/mmm, No. 123
- calculated density (g/cm³) = 8.7

Model b:
The following is a DFT calculation (PBE) of an optimized crystal structure of Gd2TmNi.

Cell lengths 3.8709, 3.8709, 8.5970 Å; angles 76.99, 76.99, 60.00 degrees
Site moments in Bohr magnetons follow the coordinates.
Atoms (fractional coordinates):
Gd1 0.2725 0.2725 0.1826  7.01
Gd2 0.7275 0.7275 0.8174  7.01
Ni1 0.0000 0.0000 0.0000  -0.04
Tm1 0.5000 0.5000 0.5000  0.00

Summary:
- spin magnetization (μB per atom) = 3.553
- symmetry = R-3m, No. 166
- calculated density (g/cm³) = 8.4

Most stable: model a (next structure +123 meV per atom)

Model a:
The following is a DFT calculation (PBE) of an optimized crystal structure of GdYNi.

Cell lengths 3.4277, 3.4277, 6.7274 Å; angles 104.76, 104.76, 90.00 degrees
Site moments in Bohr magnetons follow the coordinates.
Atoms (fractional coordinates):
Y1 0.0368 0.0368 0.0737  0.01
Ni1 0.6653 0.6653 0.3305  0.01
Gd1 0.2979 0.2979 0.5958  7.06

Summary:
- spin magnetization (μB per atom) = 2.418
- symmetry = I4mm, No. 107
- calculated density (g/cm³) = 6.9

Model b:
The following is a DFT calculation (PBE) of an optimized crystal structure of GdYNi.

Cell lengths 4.7781, 4.7781, 4.7781 Å; angles 60.00, 60.00, 60.00 degrees
Site moments in Bohr magnetons follow the coordinates.
Atoms (fractional coordinates):
Y1 0.5000 0.5000 0.5000  0.03
Ni1 0.2500 0.2500 0.2500  -0.06
Gd1 0.0000 0.0000 0.0000  7.06

Summary:
- spin magnetization (μB per atom) = 2.404
- symmetry = F-43m, No. 216
- calculated density (g/cm³) = 6.6

Most stable: model a (next structure +92 meV per atom)